Entry 1:
# TmMg11Ag | the Alexandria database | GGA-PBE | relaxed
# - formation energy (meV/atom) = -40.9
# - SG = C2/m
# - calculated density (g cm⁻³) = 3.0
# - calculated volume (Å³ per cell) = 297
# - Fermi-level density of states (states/eV per cell) = 6.96
data_TmMg11Ag
_symmetry_space_group_name_H-M 'P 1'
_symmetry_Int_Tables_number 1
_cell_length_a 7.734
_cell_length_b 7.734
_cell_length_c 7.681
_cell_angle_alpha 97.67
_cell_angle_beta 97.67
_cell_angle_gamma 136.22
loop_
_symmetry_equiv_pos_as_xyz
'x,y,z'
loop_
_atom_site_label
_atom_site_fract_x
_atom_site_fract_y
_atom_site_fract_z
_atom_site_occupancy
Tm1 0.000 0.000 0.000 1
Mg1 0.000 0.000 0.500 1
Mg2 0.000 0.500 0.000 1
Mg3 0.009 0.354 0.354 1
Mg4 0.297 0.504 0.787 1
Mg5 0.354 0.009 0.354 1
Mg6 0.496 0.703 0.213 1
Mg7 0.500 0.000 0.000 1
Mg8 0.504 0.297 0.787 1
Mg9 0.646 0.991 0.646 1
Mg10 0.703 0.496 0.213 1
Mg11 0.991 0.646 0.646 1
Ag1 0.500 0.500 0.500 1


Entry 2:
# TmMgAg2 | the Alexandria database | GGA-PBE | relaxed
# - formation energy (meV/atom) = -211.5
# - SG = P4/mmm
# - calculated density (g cm⁻³) = 8.0
# - calculated volume (Å³ per cell) = 85
# - Fermi-level density of states (states/eV per cell) = 2.88
data_TmMgAg2
_symmetry_space_group_name_H-M 'P 1'
_symmetry_Int_Tables_number 1
_cell_length_a 4.997
_cell_length_b 4.997
_cell_length_c 3.397
_cell_angle_alpha 90.00
_cell_angle_beta 90.00
_cell_angle_gamma 90.00
loop_
_symmetry_equiv_pos_as_xyz
'x,y,z'
loop_
_atom_site_label
_atom_site_fract_x
_atom_site_fract_y
_atom_site_fract_z
_atom_site_occupancy
Tm1 0.000 0.000 0.000 1
Mg1 0.500 0.500 0.000 1
Ag1 0.000 0.500 0.500 1
Ag2 0.500 0.000 0.500 1


Entry 3:
# Tm2Mg5Ag | the Alexandria database | GGA-PBE | relaxed
# - formation energy (meV/atom) = 233.1
# - SG = P4/mmm
# - calculated density (g cm⁻³) = 4.3
# - calculated volume (Å³ per cell) = 219
# - Fermi-level density of states (states/eV per cell) = 7.31
data_Tm2Mg5Ag
_symmetry_space_group_name_H-M 'P 1'
_symmetry_Int_Tables_number 1
_cell_length_a 6.629
_cell_length_b 6.629
_cell_length_c 4.977
_cell_angle_alpha 90.00
_cell_angle_beta 90.00
_cell_angle_gamma 90.00
loop_
_symmetry_equiv_pos_as_xyz
'x,y,z'
loop_
_atom_site_label
_atom_site_fract_x
_atom_site_fract_y
_atom_site_fract_z
_atom_site_occupancy
Tm1 0.000 0.500 0.000 1
Tm2 0.500 0.000 0.000 1
Mg1 0.000 0.000 0.000 1
Mg2 0.279 0.279 0.500 1
Mg3 0.279 0.721 0.500 1
Mg4 0.721 0.279 0.500 1
Mg5 0.721 0.721 0.500 1
Ag1 0.000 0.000 0.500 1